Arrangement A

An optimized crystal structure of MgTe2N2, computed with PBE.

Unit cell a=4.2924 b=4.2924 c=6.4069 alpha=90.00 beta=90.00 gamma=90.00
Each line ends with the local moment (μB).
Element x y z (fractional)
Mg (0.0000, 0.0000, 0.0000)  -0.02
Te (0.5000, 0.5000, 0.5000)  0.10
Te (0.0000, 0.0000, 0.5000)  0.05
N (0.0000, 0.5000, 0.0000)  1.32
N (0.5000, 0.0000, 0.0000)  1.32

## Properties
D(E_F)   0.96 states/eV/cell
Space group   P4/mmm


Arrangement B

An optimized crystal structure of MgTe2N2, computed with PBE.

Unit cell a=5.6595 b=5.6595 c=3.8878 alpha=90.00 beta=90.00 gamma=90.00
Each line ends with the local moment (μB).
Element x y z (fractional)
Mg (0.0000, 0.0000, 0.0000)  -0.01
Te (0.0000, 0.5000, 0.0000)  -0.15
Te (0.5000, 0.0000, 0.0000)  -0.15
N (0.5000, 0.5000, 0.5000)  1.63
N (0.0000, 0.0000, 0.5000)  0.99

## Properties
D(E_F)   4.05 states/eV/cell
Space group   P4/mmm


Relative energy of each structure, in kJ/mol of atoms: arrangement A 0.0; arrangement B 48.7.


Arrangement A

An optimized crystal structure of MgTe2N2, computed with PBE.

Unit cell a=4.0139 b=4.0139 c=6.6568 alpha=72.45 beta=72.45 gamma=90.00
Element x y z (fractional)
Mg (0.0000, 0.0000, 0.0000)
Te (0.3356, 0.3356, 0.3288)
Te (0.6644, 0.6644, 0.6712)
N (0.7500, 0.2500, 0.5000)
N (0.2500, 0.7500, 0.5000)

## Properties
D(E_F)   2.69 states/eV/cell
Space group   I4/mmm


Arrangement B

An optimized crystal structure of MgTe2N2, computed with PBE.

Unit cell a=7.8133 b=7.8133 c=3.3289 alpha=90.00 beta=90.00 gamma=90.00
Element x y z (fractional)
Mg (0.0000, 0.0000, 0.0000)
Mg (0.5000, 0.5000, 0.0000)
Te (0.3277, 0.8277, 0.0000)
Te (0.8277, 0.6723, 0.0000)
Te (0.6723, 0.1723, 0.0000)
Te (0.1723, 0.3277, 0.0000)
N (0.2117, 0.7117, 0.5000)
N (0.7117, 0.7883, 0.5000)
N (0.7883, 0.2883, 0.5000)
N (0.2883, 0.2117, 0.5000)

## Properties
D(E_F)   4.00 states/eV/cell
Space group   P4/mbm


Relative energy of each structure, in kJ/mol of atoms: arrangement A 5.6; arrangement B 0.0.


Arrangement A

An optimized crystal structure of MgTe2N2, computed with PBE.

Unit cell a=4.0528 b=4.0528 c=6.4863 alpha=90.00 beta=90.00 gamma=90.00
Element x y z (fractional)
Mg (0.5000, 0.5000, 0.5000)
Te (0.0000, 0.0000, 0.0000)
Te (0.0000, 0.0000, 0.5000)
N (0.0000, 0.5000, 0.0000)
N (0.5000, 0.0000, 0.0000)

## Properties
D(E_F)   1.69 states/eV/cell
Space group   P4/mmm


Arrangement B

An optimized crystal structure of MgTe2N2, computed with PBE.

Unit cell a=4.7027 b=4.7027 c=4.1474 alpha=90.00 beta=90.00 gamma=90.00
Each line ends with the local moment (μB).
Element x y z (fractional)
Mg (0.5000, 0.5000, 0.5000)  0.01
Te (0.0000, 0.5000, 0.0000)  0.08
Te (0.5000, 0.0000, 0.0000)  0.08
N (0.0000, 0.0000, 0.0000)  -0.01
N (0.0000, 0.0000, 0.5000)  1.15

## Properties
D(E_F)   1.26 states/eV/cell
Space group   P4/mmm


Relative energy of each structure, in kJ/mol of atoms: arrangement A 0.0; arrangement B 20.9.


Arrangement A

An optimized crystal structure of MgTe3N, computed with PBE.

Unit cell a=4.8045 b=4.8045 c=4.8045 alpha=90.00 beta=90.00 gamma=90.00
Element x y z (fractional)
Mg (0.5000, 0.5000, 0.5000)
Te (0.0000, 0.5000, 0.0000)
Te (0.0000, 0.0000, 0.5000)
Te (0.5000, 0.0000, 0.0000)
N (0.0000, 0.0000, 0.0000)

## Properties
D(E_F)   2.58 states/eV/cell
Space group   Pm-3m


Arrangement B

An optimized crystal structure of MgTe3N, computed with PBE.

Unit cell a=5.4601 b=5.4601 c=5.4601 alpha=90.00 beta=90.00 gamma=90.00
Each line ends with the local moment (μB).
Element x y z (fractional)
Mg (0.0000, 0.0000, 0.0000)  0.00
Te (0.0000, 0.5000, 0.0000)  -0.13
Te (0.0000, 0.0000, 0.5000)  -0.14
Te (0.5000, 0.0000, 0.0000)  -0.09
N (0.5000, 0.5000, 0.5000)  1.83

## Properties
D(E_F)   6.69 states/eV/cell
Space group   Pm-3m


Relative energy of each structure, in kJ/mol of atoms: arrangement A 0.0; arrangement B 73.3.


Arrangement A

An optimized crystal structure of MgTeN, computed with PBE.

Unit cell a=4.0829 b=8.1642 c=11.4090 alpha=82.61 beta=90.00 gamma=90.00
Element x y z (fractional)
Mg (0.7499, 0.3917, 0.4022)
Mg (0.2499, 0.1083, 0.5978)
Mg (0.2501, 0.6083, 0.5978)
Mg (0.7501, 0.8917, 0.4022)
Te (0.7492, 0.3476, 0.6551)
Te (0.2492, 0.1524, 0.3449)
Te (0.2508, 0.6524, 0.3449)
Te (0.7508, 0.8476, 0.6551)
N (0.4214, 0.0206, 0.9610)
N (0.9214, 0.4794, 0.0390)
N (0.5786, 0.9794, 0.0390)
N (0.0786, 0.5206, 0.9610)

## Properties
Space group   P2_1/c


Arrangement B

An optimized crystal structure of MgTeN, computed with PBE.

Unit cell a=3.6639 b=3.6639 c=9.4907 alpha=78.75 beta=78.75 gamma=59.99
Element x y z (fractional)
N (0.5880, 0.5880, 0.5218)
N (0.1652, 0.1652, 0.7855)
Te (0.6639, 0.6639, 0.2923)
Te (0.0894, 0.0894, 0.0150)
Mg (0.2460, 0.2460, 0.5469)
Mg (0.5070, 0.5070, 0.7606)

## Properties
D(E_F)   1.41 states/eV/cell
Space group   C2/m


Relative energy of each structure, in kJ/mol of atoms: arrangement A 0.0; arrangement B 26.1.


Arrangement A

An optimized crystal structure of MgTiTe2N, computed with PBE.

Unit cell a=5.5536 b=5.5536 c=3.8458 alpha=90.00 beta=90.00 gamma=90.00
Each line ends with the local moment (μB).
Element x y z (fractional)
N (0.0000, 0.0000, 0.5000)  0.96
Mg (0.0000, 0.0000, 0.0000)  -0.01
Te (0.0000, 0.5000, 0.0000)  0.01
Te (0.5000, 0.0000, 0.0000)  0.01
Ti (0.5000, 0.5000, 0.5000)  1.44

## Properties
D(E_F)   5.73 states/eV/cell
Space group   P4/mmm


Arrangement B

An optimized crystal structure of MgTiTe2N, computed with PBE.

Unit cell a=5.6117 b=5.6117 c=3.7368 alpha=90.00 beta=90.00 gamma=90.00
Element x y z (fractional)
N (0.0000, 0.0000, 0.5000)
Mg (0.5000, 0.5000, 0.5000)
Te (0.0000, 0.5000, 0.0000)
Te (0.5000, 0.0000, 0.0000)
Ti (0.0000, 0.0000, 0.0000)

## Properties
D(E_F)   4.40 states/eV/cell
Space group   P4/mmm


Relative energy of each structure, in kJ/mol of atoms: arrangement A 78.5; arrangement B 0.0.


Arrangement A

An optimized crystal structure of MgTlTeN2, computed with PBE.

Unit cell a=4.3661 b=4.3661 c=6.4366 alpha=90.00 beta=90.00 gamma=90.00
Each line ends with the local moment (μB).
Element x y z (fractional)
Tl (0.0000, 0.0000, 0.0000)  -0.01
Te (0.0000, 0.0000, 0.5000)  0.10
Mg (0.5000, 0.5000, 0.5000)  0.00
N (0.0000, 0.5000, 0.0000)  0.99
N (0.5000, 0.0000, 0.0000)  0.99

## Properties
D(E_F)   1.48 states/eV/cell
Space group   P4/mmm


Arrangement B

An optimized crystal structure of MgTlTeN2, computed with PBE.

Unit cell a=4.3563 b=4.3563 c=6.0335 alpha=90.00 beta=90.00 gamma=90.00
Each line ends with the local moment (μB).
Element x y z (fractional)
Tl (0.5000, 0.5000, 0.5000)  -0.02
Te (0.0000, 0.0000, 0.5000)  0.08
Mg (0.0000, 0.0000, 0.0000)  -0.02
N (0.0000, 0.5000, 0.0000)  1.27
N (0.5000, 0.0000, 0.0000)  1.27

## Properties
D(E_F)   2.37 states/eV/cell
Space group   P4/mmm


Relative energy of each structure, in kJ/mol of atoms: arrangement A 32.0; arrangement B 0.0.


Arrangement A

An optimized crystal structure of MgVTe2N, computed with PBE.

Unit cell a=5.5784 b=5.5784 c=3.8389 alpha=90.00 beta=90.00 gamma=90.00
Each line ends with the local moment (μB).
Element x y z (fractional)
N (0.0000, 0.0000, 0.5000)  0.96
Mg (0.0000, 0.0000, 0.0000)  -0.01
Te (0.0000, 0.5000, 0.0000)  -0.05
Te (0.5000, 0.0000, 0.0000)  -0.05
V (0.5000, 0.5000, 0.5000)  2.78

## Properties
D(E_F)   6.16 states/eV/cell
Space group   P4/mmm


Arrangement B

An optimized crystal structure of MgVTe2N, computed with PBE.

Unit cell a=5.4867 b=5.4867 c=3.6432 alpha=90.00 beta=90.00 gamma=90.00
Each line ends with the local moment (μB).
Element x y z (fractional)
N (0.0000, 0.0000, 0.5000)  -0.11
Mg (0.5000, 0.5000, 0.5000)  0.01
Te (0.0000, 0.5000, 0.0000)  -0.03
Te (0.5000, 0.0000, 0.0000)  -0.03
V (0.0000, 0.0000, 0.0000)  0.75

## Properties
D(E_F)   4.26 states/eV/cell
Space group   P4/mmm


Relative energy of each structure, in kJ/mol of atoms: arrangement A 88.5; arrangement B 0.0.